No. 1
Material: Ho5ZrN6
Method: DFT, GGA-PBE
State: relaxed

## Properties
The formation energy from raw total energies comes out at -1.7643 eV/atom. Its crystal system is monoclinic. The final energy is -8.547 eV/atom. As for the total magnetic moment: 0.00 μB per atom.

Cell lengths 5.9045, 5.9045, 5.9067 Å; angles 99.60, 99.60, 119.98 degrees
With the nearest neighbours (Å) after each atom.
Sites, in units of the cell vectors:
1 Ho 0.0000 0.0000 0.0000  6 N 2.41-2.49
2 Ho 0.1667 0.8333 0.5000  6 N 2.42
3 Ho 0.3338 0.6662 0.0000  6 N 2.40-2.49
4 Ho 0.6662 0.3338 0.0000  6 N 2.40-2.49
5 Ho 0.8333 0.1667 0.5000  6 N 2.42
6 Zr 0.5000 0.5000 0.5000  6 N 2.33-2.34
7 N 0.0971 0.4189 0.2569  1 Zr 2.33, 5 Ho 2.41-2.49
8 N 0.2593 0.2593 0.7439  1 Zr 2.34, 5 Ho 2.40-2.49
9 N 0.4189 0.0971 0.2569  1 Zr 2.33, 5 Ho 2.41-2.49
10 N 0.5811 0.9029 0.7431  1 Zr 2.33, 5 Ho 2.41-2.49
11 N 0.7407 0.7407 0.2561  1 Zr 2.34, 5 Ho 2.40-2.49
12 N 0.9029 0.5811 0.7431  1 Zr 2.33, 5 Ho 2.41-2.49

=====

No. 2
Material: Mg2AlFe
Method: DFT, GGA-PBE
State: relaxed

## Properties
Its energy of formation is 0.4 eV per formula unit. Its crystal system is tetragonal. The final energy is -3.742 eV/atom. As for the total magnetic moment: 0.57 μB per atom.

Cell lengths 3.9898, 3.9898, 4.1813 Å; angles 90.00, 90.00, 90.00 degrees
With the nearest neighbours (Å) after each atom.
Sites, in units of the cell vectors:
1 Mg 0.0000 0.5000 0.0000  4 Mg 2.82, 4 Fe 2.89, 4 Al 2.89
2 Mg 0.5000 0.0000 0.0000  4 Mg 2.82, 4 Fe 2.89, 4 Al 2.89
3 Al 0.0000 0.0000 0.5000  4 Fe 2.82, 8 Mg 2.89
4 Fe 0.5000 0.5000 0.5000  4 Al 2.82, 8 Mg 2.89